Entry 1:
Entry from the Alexandria database: Li2OsPt after structural relaxation (PBEsol).

```
Li2OsPt
1.0
-0.658 0.404 2.497
-3.990 -1.080 -0.877
1.083 -4.872 1.074
Li Os Pt
2 1 1
Direct
0.000 0.000 0.027
0.500 0.500 0.223
0.000 0.000 0.541
0.500 0.500 0.709
```

Summary:
**M_tot**: 0.000 μB per cell
**E_tot**: -5.79 eV per atom
**Polymorph energy (0 for the lowest one)**: 0.00 eV/f.u.
**Density**: 11.75 g cm⁻³



Entry 2:
Entry from the Alexandria database: LiOs2Pt after structural relaxation (PBEsol).

```
LiOs2Pt
1.0
-1.917 -0.690 -1.711
3.668 -2.585 -0.999
-1.905 -2.868 3.291
Os Pt Li
2 1 1
Direct
0.246 0.492 0.789
0.992 0.983 0.971
0.508 0.015 0.462
0.755 0.510 0.278
```

Summary:
**M_tot**: 0.000 μB per cell
**E_tot**: -8.25 eV per atom
**Polymorph energy (0 for the lowest one)**: 0.04 eV/f.u.
**Density**: 17.51 g cm⁻³



Entry 3:
Entry from the Alexandria database: LiOs2Pt after structural relaxation (PBEsol).

```
LiOs2Pt
1.0
4.261 0.000 0.000
2.131 3.690 0.000
2.131 1.230 3.479
Li Pt Os
1 1 2
Direct
0.500 0.500 0.500
0.250 0.250 0.250
0.000 0.000 0.000
0.750 0.750 0.750
```

Summary:
**M_tot**: 0.431 μB per cell
**E_tot**: -8.04 eV per atom
**Polymorph energy (0 for the lowest one)**: 0.87 eV/f.u.
**Density**: 17.68 g cm⁻³



Entry 4:
Entry from the Alexandria database: LiTa2OsPt after structural relaxation (PBEsol).

```
LiTa2OsPt
1.0
3.954 0.000 0.000
0.000 4.827 0.000
0.000 0.000 4.827
Ta Pt Li Os
2 1 1 1
Direct
0.000 0.500 0.000
0.000 0.000 0.500
0.000 0.000 0.000
0.500 0.000 0.000
0.500 0.500 0.500
```

Summary:
**M_tot**: 0.000 μB per cell
**E_tot**: -8.05 eV per atom
**Density**: 13.59 g cm⁻³



Entry 5:
Entry from the Alexandria database: LiRe2Os after structural relaxation (PBEsol).

```
LiRe2Os
1.0
2.957 0.000 0.000
0.000 4.256 0.000
0.000 0.000 4.342
Re Li Os
2 1 1
Direct
0.000 0.000 0.000
0.500 0.500 0.000
0.500 0.000 0.500
0.000 0.500 0.500
```

Summary:
**M_tot**: 0.000 μB per cell
**E_tot**: -9.83 eV per atom
**Density**: 17.31 g cm⁻³



Entry 6:
Entry from the Alexandria database: LiRe2Os after structural relaxation (PBEsol).

```
LiRe2Os
1.0
-2.148 -0.873 1.328
1.246 -4.530 -0.962
1.774 1.821 4.066
Os Re Li
1 2 1
Direct
0.500 0.500 0.500
0.000 0.000 0.500
0.000 0.500 0.000
0.500 0.000 0.000
```

Summary:
**M_tot**: 0.000 μB per cell
**E_tot**: -9.83 eV per atom
**Density**: 17.07 g cm⁻³



Entry 7:
Entry from the Alexandria database: LiReOs2 after structural relaxation (PBEsol).

```
LiReOs2
1.0
-0.759 -2.161 -1.689
0.645 -2.809 3.303
-3.978 2.966 0.390
Li Os Re
1 2 1
Direct
0.000 0.500 0.000
0.259 0.259 0.518
0.741 0.741 0.482
0.500 0.000 0.000
```

Summary:
**M_tot**: 0.000 μB per cell
**E_tot**: -9.60 eV per atom
**Polymorph energy (0 for the lowest one)**: 0.00 eV/f.u.
**Density**: 18.03 g cm⁻³



Entry 8:
Entry from the Alexandria database: LiReOs2 after structural relaxation (PBEsol).

```
LiReOs2
1.0
-1.893 -0.026 2.009
-0.069 -4.423 -0.122
3.245 -0.135 3.056
Os Li Re
2 1 1
Direct
0.500 0.000 0.500
0.000 0.000 0.000
0.000 0.500 0.500
0.500 0.500 0.000
```

Summary:
**M_tot**: 0.001 μB per cell
**E_tot**: -9.44 eV per atom
**Polymorph energy (0 for the lowest one)**: 0.64 eV/f.u.
**Density**: 17.48 g cm⁻³



Entry 9:
Entry from the Alexandria database: LiReOs2 after structural relaxation (PBEsol).

```
LiReOs2
1.0
2.899 0.000 0.000
0.000 4.320 0.000
0.000 0.000 4.320
Os Re Li
2 1 1
Direct
0.000 0.000 0.500
0.000 0.500 0.000
0.500 0.500 0.500
0.500 0.000 0.000
```

Summary:
**M_tot**: 0.000 μB per cell
**E_tot**: -9.56 eV per atom
**Polymorph energy (0 for the lowest one)**: 0.18 eV/f.u.
**Density**: 17.61 g cm⁻³



Entry 10:
Entry from the Alexandria database: Li2ReTeOs after structural relaxation (PBEsol).

```
Li2ReTeOs
1.0
4.545 0.000 0.000
0.000 4.545 0.000
0.000 0.000 4.702
Li Re Te Os
2 1 1 1
Direct
0.500 0.000 0.000
0.000 0.500 0.000
0.000 0.000 0.500
0.500 0.500 0.500
0.000 0.000 0.000
```

Summary:
**M_tot**: 1.280 μB per cell
**E_tot**: -5.51 eV per atom
**Formation energy without anion corrections**: 1.09 eV per atom
**Density**: 8.85 g cm⁻³



Entry 11:
Entry from the Alexandria database: Li2OsRh after structural relaxation (PBEsol).

```
Li2OsRh
1.0
-2.439 -0.596 -0.076
0.614 -2.922 3.234
-0.856 3.121 2.983
Os Li Rh
1 2 1
Direct
0.500 0.500 0.500
0.000 0.000 0.500
0.000 0.500 0.000
0.500 0.000 0.000
```

Summary:
**M_tot**: 0.521 μB per cell
**E_tot**: -5.62 eV per atom
**Polymorph energy (0 for the lowest one)**: 1.12 eV/f.u.
**Density**: 10.48 g cm⁻³



Entry 12:
Entry from the Alexandria database: LiOs2Rh after structural relaxation (PBEsol).

```
LiOs2Rh
1.0
2.662 0.000 0.000
1.331 2.305 0.000
1.331 0.768 9.001
Rh Os Li
1 2 1
Direct
0.500 0.500 0.500
0.248 0.248 0.257
0.752 0.752 0.743
0.000 0.000 0.000
```

Summary:
**M_tot**: 0.000 μB per cell
**E_tot**: -8.42 eV per atom
**Polymorph energy (0 for the lowest one)**: 0.31 eV/f.u.
**Density**: 14.74 g cm⁻³